Entry 1:
Here is an optimized crystal structure of BaCa2Pd2 from the Alexandria database. Energies are from PBE-GGA.

Structure (CIF):
```
data_BaCa2Pd2
_space_group_name_H-M_alt 'I 4/m m m'
_space_group_IT_number 139
_space_group_name_Hall '-I 4 2'
_cell_length_a 4.8032
_cell_length_b 4.8032
_cell_length_c 12.8081
_cell_angle_alpha 90.00
_cell_angle_beta 90.00
_cell_angle_gamma 90.00
loop_
_atom_site_label
_atom_site_type_symbol
_atom_site_fract_x
_atom_site_fract_y
_atom_site_fract_z
_atom_site_occupancy
Ba1 Ba 0.0000 0.0000 0.0000 1
Ca1 Ca 0.0000 0.5000 0.2500 1
Pd1 Pd 0.0000 0.0000 0.3925 1
```

Output
- calculated formation energy (meV per atom) = -506
- V (Å³/atom) = 29.5
- ρ (g cm⁻³) = 4.84
- crystal system = tetragonal


Entry 2:
Here is an optimized crystal structure of Sr4LiN from the Alexandria database. Energies are from PBE-GGA.

Structure (CIF):
```
data_Sr4LiN
_space_group_name_H-M_alt 'C 1 2/m 1'
_space_group_IT_number 12
_cell_length_a 19.5122
_cell_length_b 7.6244
_cell_length_c 6.6934
_cell_angle_alpha 90.00
_cell_angle_beta 108.94
_cell_angle_gamma 90.00
loop_
_space_group_symop_operation_xyz
'x,y,z'
'-x,-y,-z'
'-x,y,-z'
'x,-y,z'
'x+1/2,y+1/2,z'
'-x+1/2,-y+1/2,-z'
'-x+1/2,y+1/2,-z'
'x+1/2,-y+1/2,z'
loop_
_atom_site_label
_atom_site_type_symbol
_atom_site_fract_x
_atom_site_fract_y
_atom_site_fract_z
_atom_site_occupancy
Sr1 Sr 0.0000 0.2205 0.0000 1
Sr2 Sr 0.1139 0.2328 0.6754 1
Sr3 Sr 0.1916 0.0000 0.1981 1
Li1 Li 0.1901 0.5000 0.2133 1
N1 N 0.0817 0.0000 0.8907 1
```

Output
- V (Å³/atom) = 39.2
- formation energy (no corrections) (eV/atom) = -0.191
- ρ (g cm⁻³) = 2.62
- crystal system = monoclinic


Entry 3:
Here is an optimized crystal structure of LiCd2Te from the Alexandria database. Energies are from PBE-GGA.

Structure (CIF):
```
data_LiCd2Te
_space_group_name_H-M_alt 'I 4/m m m'
_space_group_IT_number 139
_space_group_name_Hall '-I 4 2'
_cell_length_a 4.2264
_cell_length_b 4.2264
_cell_length_c 10.6289
_cell_angle_alpha 90.00
_cell_angle_beta 90.00
_cell_angle_gamma 90.00
loop_
_atom_site_label
_atom_site_type_symbol
_atom_site_fract_x
_atom_site_fract_y
_atom_site_fract_z
_atom_site_occupancy
Li1 Li 0.0000 0.0000 0.0000 1
Cd1 Cd 0.0000 0.5000 0.2500 1
Te1 Te 0.0000 0.0000 0.5000 1
```

Output
- V (Å³/atom) = 23.7
- formation energy (no corrections) (eV/atom) = -0.266
- ρ (g cm⁻³) = 6.29
- crystal system = tetragonal


Entry 4:
Here is an optimized crystal structure of RbNa3Ti from the Alexandria database. Energies are from PBE-GGA.

Structure (CIF):
```
data_RbNa3Ti
_space_group_name_H-M_alt 'P m -3 m'
_space_group_IT_number 221
_space_group_name_Hall '-P 4 2 3'
_cell_length_a 6.2497
_cell_length_b 6.2497
_cell_length_c 6.2497
_cell_angle_alpha 90.00
_cell_angle_beta 90.00
_cell_angle_gamma 90.00
loop_
_atom_site_label
_atom_site_type_symbol
_atom_site_fract_x
_atom_site_fract_y
_atom_site_fract_z
_atom_site_occupancy
Rb1 Rb 0.0000 0.0000 0.0000 1
Na1 Na 0.0000 0.5000 0.5000 1
Ti1 Ti 0.5000 0.5000 0.5000 1
```

Output
- calculated formation energy (meV per atom) = 764
- V (Å³/atom) = 48.8
- ρ (g cm⁻³) = 1.38
- crystal system = cubic


Entry 5:
Here is an optimized crystal structure of NiSbRu3 from the Alexandria database. Energies are from PBE-GGA.

Structure (CIF):
```
data_NiSbRu3
_space_group_name_H-M_alt 'P m -3 m'
_space_group_IT_number 221
_space_group_name_Hall '-P 4 2 3'
_cell_length_a 4.8020
_cell_length_b 4.8020
_cell_length_c 4.8020
_cell_angle_alpha 90.00
_cell_angle_beta 90.00
_cell_angle_gamma 90.00
loop_
_atom_site_label
_atom_site_type_symbol
_atom_site_fract_x
_atom_site_fract_y
_atom_site_fract_z
_atom_site_occupancy
Ni1 Ni 0.0000 0.0000 0.0000 1
Sb1 Sb 0.5000 0.5000 0.5000 1
Ru1 Ru 0.0000 0.5000 0.5000 1
```

Output
- V (Å³/atom) = 22.1
- formation energy (no corrections) (eV/atom) = 1.917
- ρ (g cm⁻³) = 7.25
- crystal system = cubic


Entry 6:
Here is an optimized crystal structure of LiMg2Pd4 from the Alexandria database. Energies are from PBE-GGA.

Structure (CIF):
```
data_LiMg2Pd4
_space_group_name_H-M_alt 'P 1'
_space_group_IT_number 1
_cell_length_a 4.7342
_cell_length_b 6.4380
_cell_length_c 7.4484
_cell_angle_alpha 83.80
_cell_angle_beta 79.02
_cell_angle_gamma 80.61
loop_
_space_group_symop_operation_xyz
'x,y,z'
loop_
_atom_site_label
_atom_site_type_symbol
_atom_site_fract_x
_atom_site_fract_y
_atom_site_fract_z
_atom_site_occupancy
Li1 Li 0.0000 0.0000 0.0000 1
Li2 Li 0.4573 0.1239 0.1429 1
Mg1 Mg 0.0983 0.8448 0.3588 1
Mg2 Mg 0.2323 0.5450 0.0609 1
Mg3 Mg 0.6852 0.5716 0.5807 1
Mg4 Mg 0.9356 0.1303 0.6501 1
Pd1 Pd 0.1289 0.7086 0.7152 1
Pd2 Pd 0.2718 0.4241 0.4243 1
Pd3 Pd 0.3650 0.2694 0.7856 1
Pd4 Pd 0.5123 0.9902 0.4995 1
Pd5 Pd 0.5570 0.8526 0.8716 1
Pd6 Pd 0.6751 0.6993 0.2159 1
Pd7 Pd 0.7915 0.4190 0.9301 1
Pd8 Pd 0.8655 0.2607 0.2854 1
```

Output
- calculated formation energy (meV per atom) = -518
- V (Å³/atom) = 15.7
- ρ (g cm⁻³) = 7.29
- crystal system = triclinic


Entry 7:
Here is an optimized crystal structure of Cs2HgCl from the Alexandria database. Energies are from PBE-GGA.

Structure (CIF):
```
data_Cs2HgCl
_space_group_name_H-M_alt 'R 3 m'
_space_group_IT_number 160
_space_group_name_Hall 'R 3 -2"'
_cell_length_a 4.9581
_cell_length_b 4.9581
_cell_length_c 28.7828
_cell_angle_alpha 90.00
_cell_angle_beta 90.00
_cell_angle_gamma 120.00
loop_
_atom_site_label
_atom_site_type_symbol
_atom_site_fract_x
_atom_site_fract_y
_atom_site_fract_z
_atom_site_occupancy
Cs1 Cs 0.0000 0.0000 0.0000 1
Cs2 Cs 0.0000 0.0000 0.1894 1
Hg1 Hg 0.0000 0.0000 0.7619 1
Cl1 Cl 0.0000 0.0000 0.5951 1
```

Output
- V (Å³/atom) = 51.1
- formation energy (no corrections) (eV/atom) = -1.003
- ρ (g cm⁻³) = 4.08
- crystal system = trigonal


Entry 8:
Here is an optimized crystal structure of LiTeP2Os from the Alexandria database. Energies are from PBE-GGA.

Structure (CIF):
```
data_LiTeP2Os
_space_group_name_H-M_alt 'P 4/m m m'
_space_group_IT_number 123
_space_group_name_Hall '-P 4 2'
_cell_length_a 4.4497
_cell_length_b 4.4497
_cell_length_c 6.1472
_cell_angle_alpha 90.00
_cell_angle_beta 90.00
_cell_angle_gamma 90.00
loop_
_atom_site_label
_atom_site_type_symbol
_atom_site_fract_x
_atom_site_fract_y
_atom_site_fract_z
_atom_site_occupancy
Li1 Li 0.0000 0.0000 0.0000 1
Te1 Te 0.5000 0.5000 0.0000 1
P1 P 0.0000 0.5000 0.5000 1
Os1 Os 0.5000 0.5000 0.5000 1
```

Output
- V (Å³/atom) = 24.3
- formation energy (no corrections) (eV/atom) = 0.195
- ρ (g cm⁻³) = 5.28
- crystal system = tetragonal


Entry 9:
Here is an optimized crystal structure of K2NpI2Cl4 from the Alexandria database. Energies are from PBE-GGA.

Structure (CIF):
```
data_K2NpI2Cl4
_space_group_name_H-M_alt 'I 4/m m m'
_space_group_IT_number 139
_space_group_name_Hall '-I 4 2'
_cell_length_a 7.5831
_cell_length_b 7.5831
_cell_length_c 11.7850
_cell_angle_alpha 90.00
_cell_angle_beta 90.00
_cell_angle_gamma 90.00
loop_
_atom_site_label
_atom_site_type_symbol
_atom_site_fract_x
_atom_site_fract_y
_atom_site_fract_z
_atom_site_occupancy
K1 K 0.0000 0.5000 0.2500 1
Np1 Np 0.0000 0.0000 0.0000 1
I1 I 0.0000 0.0000 0.2587 1
Cl1 Cl 0.2408 0.2408 0.0000 1
```

Output
- V (Å³/atom) = 37.6
- formation energy (no corrections) (eV/atom) = -1.561
- ρ (g cm⁻³) = 3.48
- crystal system = tetragonal


Entry 10:
Here is an optimized crystal structure of La2InCl from the Alexandria database. Energies are from PBE-GGA.

Structure (CIF):
```
data_La2InCl
_space_group_name_H-M_alt 'I -4 m 2'
_space_group_IT_number 119
_space_group_name_Hall 'I -4 -2'
_cell_length_a 4.4835
_cell_length_b 4.4835
_cell_length_c 12.2071
_cell_angle_alpha 90.00
_cell_angle_beta 90.00
_cell_angle_gamma 90.00
loop_
_atom_site_label
_atom_site_type_symbol
_atom_site_fract_x
_atom_site_fract_y
_atom_site_fract_z
_atom_site_occupancy
La1 La 0.0000 0.0000 0.0000 1
La2 La 0.0000 0.5000 0.2500 1
In1 In 0.0000 0.0000 0.5000 1
Cl1 Cl 0.0000 0.5000 0.7500 1
```

Output
- V (Å³/atom) = 30.7
- formation energy (no corrections) (eV/atom) = -0.640
- ρ (g cm⁻³) = 5.79
- crystal system = tetragonal


Entry 11:
Here is an optimized crystal structure of Ho3Tm3Rh2 from the Alexandria database. Energies are from PBE-GGA.

Structure (CIF):
```
data_Ho3Tm3Rh2
_space_group_name_H-M_alt 'C m c m'
_space_group_IT_number 63
_space_group_name_Hall '-C 2c 2'
_cell_length_a 3.7678
_cell_length_b 12.9613
_cell_length_c 17.7459
_cell_angle_alpha 90.00
_cell_angle_beta 90.00
_cell_angle_gamma 90.00
loop_
_atom_site_label
_atom_site_type_symbol
_atom_site_fract_x
_atom_site_fract_y
_atom_site_fract_z
_atom_site_occupancy
Ho1 Ho 0.0000 0.0587 0.0895 1
Ho2 Ho 0.0000 0.2752 0.2500 1
Tm1 Tm 0.0000 0.3285 0.0584 1
Tm2 Tm 0.0000 0.4506 0.7500 1
Rh1 Rh 0.0000 0.2966 0.6354 1
```

Output
- calculated formation energy (meV per atom) = -437
- V (Å³/atom) = 27.1
- ρ (g cm⁻³) = 9.25
- crystal system = orthorhombic


Entry 12:
Here is an optimized crystal structure of Pm7Dy3Ho from the Alexandria database. Energies are from PBE-GGA.

Structure (CIF):
```
data_Pm7Dy3Ho
_space_group_name_H-M_alt 'P 1 2/m 1'
_space_group_IT_number 10
_cell_length_a 7.0689
_cell_length_b 5.6395
_cell_length_c 10.0268
_cell_angle_alpha 90.00
_cell_angle_beta 110.57
_cell_angle_gamma 90.00
loop_
_space_group_symop_operation_xyz
'x,y,z'
'-x,-y,-z'
'-x,y,-z'
'x,-y,z'
loop_
_atom_site_label
_atom_site_type_symbol
_atom_site_fract_x
_atom_site_fract_y
_atom_site_fract_z
_atom_site_occupancy
Pm1 Pm 0.0000 0.0000 0.0000 1
Pm2 Pm 0.1455 0.5000 0.2918 1
Pm3 Pm 0.3205 0.5000 0.6391 1
Pm4 Pm 0.4143 0.0000 0.8289 1
Dy1 Dy 0.0000 0.0000 0.5000 1
Dy2 Dy 0.2794 0.5000 0.9999 1
Ho1 Ho 0.5000 0.0000 0.5000 1
```

Output
- calculated formation energy (meV per atom) = 120
- V (Å³/atom) = 34.0
- ρ (g cm⁻³) = 7.40
- crystal system = monoclinic


| no. | N(E_F) (states/eV/atom) |
| --- | --- |
| 1 | 0.5089 |
| 2 | 0.7109 |
| 3 | 0.3684 |
| 4 | 1.5620 |
| 5 | 2.1898 |
| 6 | 0.4108 |
| 7 | 0.7365 |
| 8 | 0.6943 |
| 9 | 0.5717 |
| 10 | 1.2310 |
| 11 | 0.9773 |
| 12 | 1.3711 |